Record 1
A relaxed structure of TbPr2TmSc, computed with PBE.

**Crystal system**: orthorhombic
**Formation energy from the elements**: 0.3800 eV/atom

```
data_TbPr2TmSc
_chemical_formula_sum 'Tb4 Pr8 Tm4 Sc4'
_cell_length_a 8.237
_cell_length_b 11.368
_cell_length_c 7.236
_cell_angle_alpha 90.00
_cell_angle_beta 90.00
_cell_angle_gamma 90.00
_space_group_name_H-M_alt 'C m c m'
_space_group_IT_number 63
_space_group_name_Hall '-C 2c 2'
loop_
_atom_site_label
_atom_site_type_symbol
_atom_site_fract_x
_atom_site_fract_y
_atom_site_fract_z
Tb1 Tb 0.000 0.230 0.250
Pr1 Pr 0.200 0.000 0.000
Tm1 Tm 0.000 0.239 0.750
Sc1 Sc 0.000 0.492 0.250
```



Record 2
A relaxed structure of BaAsPt2, computed with PBE.

**Crystal system**: tetragonal
**Formation energy from the elements**: -0.3351 eV/atom

```
data_BaAsPt2
_chemical_formula_sum 'Ba1 As1 Pt2'
_cell_length_a 3.602
_cell_length_b 3.602
_cell_length_c 6.955
_cell_angle_alpha 90.00
_cell_angle_beta 90.00
_cell_angle_gamma 90.00
_space_group_name_H-M_alt 'P 4 m m'
_space_group_IT_number 99
_space_group_name_Hall 'P 4 -2'
loop_
_atom_site_label
_atom_site_type_symbol
_atom_site_fract_x
_atom_site_fract_y
_atom_site_fract_z
Ba1 Ba 0.000 0.000 0.000
As1 As 0.500 0.500 0.632
Pt1 Pt 0.000 0.000 0.500
Pt2 Pt 0.500 0.500 0.285
```



Record 3
A relaxed structure of ZnNiOs, computed with PBE.

**Crystal system**: tetragonal
**Energy above the lowest structure with this stoichiometry**: 0.0 meV per atom
**Formation energy from the elements**: 0.0172 eV/atom

```
data_ZnNiOs
_chemical_formula_sum 'Zn2 Ni2 Os2'
_cell_length_a 2.798
_cell_length_b 2.798
_cell_length_c 9.987
_cell_angle_alpha 90.00
_cell_angle_beta 90.00
_cell_angle_gamma 90.00
_space_group_name_H-M_alt 'P 4/n m m'
_space_group_IT_number 129
loop_
_space_group_symop_operation_xyz
'x,y,z'
'-x,-y,-z'
'-y+1/2,x,z'
'y+1/2,-x,-z'
'-x+1/2,-y+1/2,z'
'x+1/2,y+1/2,-z'
'y,-x+1/2,z'
'-y,x+1/2,-z'
'x+1/2,-y,-z'
'-x+1/2,y,z'
'-y,-x,-z'
'y,x,z'
'-x,y+1/2,-z'
'x,-y+1/2,z'
'y+1/2,x+1/2,-z'
'-y+1/2,-x+1/2,z'
loop_
_atom_site_label
_atom_site_type_symbol
_atom_site_fract_x
_atom_site_fract_y
_atom_site_fract_z
Zn1 Zn 0.250 0.250 0.226
Ni1 Ni 0.250 0.250 0.926
Os1 Os 0.250 0.250 0.585
```



Record 4
A relaxed structure of InTe2O6, computed with PBE.

**Crystal system**: monoclinic
**Formation energy from raw total energies**: -0.992 eV per atom
**Energy above the lowest structure with this stoichiometry**: 37.9 meV per atom

```
data_InTe2O6
_chemical_formula_sum 'In4 Te8 O24'
_cell_length_a 10.863
_cell_length_b 7.862
_cell_length_c 7.761
_cell_angle_alpha 90.00
_cell_angle_beta 112.45
_cell_angle_gamma 90.00
_space_group_name_H-M_alt 'C 1 2/c 1'
_space_group_IT_number 15
_space_group_name_Hall '-C 2yc'
loop_
_atom_site_label
_atom_site_type_symbol
_atom_site_fract_x
_atom_site_fract_y
_atom_site_fract_z
In1 In 0.000 0.079 0.250
Te1 Te 0.205 0.474 0.258
O1 O 0.108 0.083 0.633
O2 O 0.161 0.239 0.273
O3 O 0.176 0.450 0.983
```



Record 5
A relaxed structure of Cs3K8Rb3, computed with PBE.

**Crystal system**: orthorhombic
**Formation energy from the elements**: 0.0350 eV/atom

```
data_Cs3K8Rb3
_chemical_formula_sum 'Cs6 K16 Rb6'
_cell_length_a 7.496
_cell_length_b 14.711
_cell_length_c 22.616
_cell_angle_alpha 90.00
_cell_angle_beta 90.00
_cell_angle_gamma 90.00
_space_group_name_H-M_alt 'I m m m'
_space_group_IT_number 71
_space_group_name_Hall '-I 2 2'
loop_
_atom_site_label
_atom_site_type_symbol
_atom_site_fract_x
_atom_site_fract_y
_atom_site_fract_z
Cs1 Cs 0.000 0.000 0.000
Cs2 Cs 0.000 0.000 0.309
K1 K 0.000 0.269 0.129
K2 K 0.000 0.354 0.312
Rb1 Rb 0.000 0.221 0.500
Rb2 Rb 0.000 0.500 0.000
```



Record 6
A relaxed structure of ZrBePb2, computed with PBE.

**Crystal system**: tetragonal
**Formation energy from the elements**: 0.3163 eV/atom

```
data_ZrBePb2
_chemical_formula_sum 'Zr1 Be1 Pb2'
_cell_length_a 4.647
_cell_length_b 4.647
_cell_length_c 4.117
_cell_angle_alpha 90.00
_cell_angle_beta 90.00
_cell_angle_gamma 90.00
_space_group_name_H-M_alt 'P 4/m m m'
_space_group_IT_number 123
_space_group_name_Hall '-P 4 2'
loop_
_atom_site_label
_atom_site_type_symbol
_atom_site_fract_x
_atom_site_fract_y
_atom_site_fract_z
Zr1 Zr 0.000 0.000 0.000
Be1 Be 0.500 0.500 0.000
Pb1 Pb 0.000 0.500 0.500
```



no.,total moment (μB per atom)
1,0.000
2,0.000
3,0.001
4,0.000
5,0.000
6,0.000